# 1
Material: Tl8Hg2Se3
Method: DFT, GGA-PBE
State: relaxed

Results
E_tot	-65.6	eV for the cell shown
energy relative to the elements, uncorrected	-0.22	eV per atom

abc: 15.7170 8.3271 7.3025
angles: 90.00 106.60 90.00
With the nearest neighbours (Å) after each atom.
Space group C2/m (No. 12)
Unique sites:
Tl 0.1027 0.0000 0.2874 (multiplicity 4)  2 Se 3.04, 1 Hg 3.20
Tl 0.1069 0.2212 0.7160 (multiplicity 8)  2 Se 3.03, 1 Hg 3.23
Tl 0.1236 0.5000 0.2352 (multiplicity 4)  3 Se 3.05-3.11, 1 Hg 3.37
Hg 0.2441 0.5000 0.9213 (multiplicity 4)  6 Tl 3.20-3.51
Se 0.0000 0.2452 0.0000 (multiplicity 4)  6 Tl 3.03-3.05
Se 0.0000 0.5000 0.5000 (multiplicity 2)  6 Tl 3.03-3.11

# 2
Material: Tl6HgSe2
Method: DFT, GGA-PBE
State: relaxed

Results
E_tot	-92.6	eV for the cell shown
energy relative to the elements, uncorrected	-0.19	eV per atom

abc: 13.2465 12.4708 7.6333
angles: 90.00 114.19 90.00
With the nearest neighbours (Å) after each atom.
Space group C2/c (No. 15)
Unique sites:
Tl 0.0328 0.1361 0.0148 (multiplicity 8)  2 Se 3.08-3.18
Tl 0.1370 0.4093 0.7417 (multiplicity 8)  2 Se 3.08-3.18, 1 Hg 3.33, 1 Tl 3.35
Tl 0.2440 0.3241 0.2802 (multiplicity 8)  2 Se 3.03-3.09, 1 Hg 3.19, 1 Tl 3.35
Hg 0.0000 0.3683 0.2500 (multiplicity 4)  8 Tl 3.19-3.53
Se 0.1815 0.0192 0.3876 (multiplicity 8)  6 Tl 3.03-3.18

# 3
Material: Tl9Hg3Se4
Method: DFT, GGA-PBE
State: relaxed

Results
E_tot	-117.3	eV for the cell shown
energy relative to the elements, uncorrected	-0.18	eV per atom

abc: 7.4993 7.4993 36.0992
angles: 90.00 90.00 120.00
With the nearest neighbours (Å) after each atom.
Space group R3 (No. 146, hexagonal axes)
Unique sites:
Tl 0.0000 0.4244 0.0000 (multiplicity 9)  3 Hg 3.17-3.18, 2 Se 3.22
Tl 0.0155 0.6163 0.8790 (multiplicity 9)  3 Se 3.02-3.14, 1 Hg 3.21
Tl 0.0659 0.7171 0.4543 (multiplicity 9)  3 Se 3.02-3.14, 1 Hg 3.21
Hg 0.0000 0.0000 0.9997 (multiplicity 3)  3 Tl 3.18
Hg 0.0000 0.0000 0.3954 (multiplicity 3)  6 Tl 3.17-3.21
Hg 0.0000 0.0000 0.6045 (multiplicity 3)  6 Tl 3.17-3.21
Se 0.0000 0.0000 0.1509 (multiplicity 3)  6 Tl 3.13-3.14
Se 0.0000 0.0000 0.2692 (multiplicity 3)  6 Tl 3.02-3.22
Se 0.0000 0.0000 0.7308 (multiplicity 3)  6 Tl 3.02-3.22
Se 0.0000 0.0000 0.8490 (multiplicity 3)  6 Tl 3.13-3.14

# 4
Material: TlHgSe2
Method: DFT, GGA-PBE
State: relaxed

Results
E_tot	-9.7	eV for the cell shown
energy relative to the elements, uncorrected	-0.01	eV per atom

abc: 3.8840 3.8840 7.8274
angles: 90.00 90.00 90.00
With the nearest neighbours (Å) after each atom.
Space group P4mm (No. 99)
Unique sites:
Tl 0.0000 0.0000 0.0000 (multiplicity 1)  1 Se 2.97
Hg 0.5000 0.5000 0.2789 (multiplicity 1)  1 Se 3.09
Se 0.0000 0.0000 0.6204 (multiplicity 1)  4 Se 2.78, 1 Tl 2.97
Se 0.5000 0.5000 0.6740 (multiplicity 1)  4 Se 2.78, 1 Hg 3.09

# 5
Material: TlHgSe2
Method: DFT, GGA-PBE
State: relaxed

Results
E_tot	-18.6	eV for the cell shown
energy relative to the elements, uncorrected	0.09	eV per atom

abc: 4.1945 4.1945 11.9443
angles: 90.00 90.00 90.00
With the nearest neighbours (Å) after each atom.
Space group I4/mmm (No. 139)
Unique sites:
Tl 0.0000 0.0000 0.0000 (multiplicity 2)  4 Hg 2.97
Hg 0.0000 0.0000 0.5000 (multiplicity 2)  4 Tl 2.97
Se 0.0000 0.5000 0.2500 (multiplicity 4)  4 Se 2.97

# 6
Material: TlHg2Se
Method: DFT, GGA-PBE
State: relaxed

Results
E_tot	-6.3	eV for the cell shown
energy relative to the elements, uncorrected	0.03	eV per atom

abc: 4.0517 4.0517 6.6298
angles: 90.00 90.00 90.00
With the nearest neighbours (Å) after each atom.
Space group P4/mmm (No. 123)
Unique sites:
Tl 0.0000 0.0000 0.0000 (multiplicity 1)  2 Se 3.31, 8 Hg 3.39
Hg 0.5000 0.5000 0.2731 (multiplicity 2)  1 Hg 3.01, 4 Se 3.24
Se 0.0000 0.0000 0.5000 (multiplicity 1)  8 Hg 3.24, 2 Tl 3.31

# 7
Material: TlHgSe3
Method: DFT, GGA-PBE
State: relaxed

Results
E_tot	-11.5	eV for the cell shown
energy relative to the elements, uncorrected	0.32	eV per atom
energy relative to the lowest polymorph listed for this composition	0	meV/atom

abc: 5.3505 5.3505 5.3505
angles: 90.00 90.00 90.00
With the nearest neighbours (Å) after each atom.
Space group Pm-3m (No. 221)
Unique sites:
Tl 0.0000 0.0000 0.0000 (multiplicity 1)  12 Se 3.78
Hg 0.5000 0.5000 0.5000 (multiplicity 1)  6 Se 2.68
Se 0.0000 0.5000 0.5000 (multiplicity 3)  2 Hg 2.68

# 8
Material: TlHg3Se3
Method: DFT, GGA-PBE
State: relaxed

Results
E_tot	-87.9	eV for the cell shown
energy relative to the elements, uncorrected	-0.13	eV per atom

abc: 8.1309 8.1309 23.3465
angles: 90.00 90.00 120.00
With the nearest neighbours (Å) after each atom.
Space group R-3 (No. 148, hexagonal axes)
Unique sites:
Tl 0.0000 0.0000 0.1669 (multiplicity 6)  6 Se 3.34-3.45
Hg 0.0113 0.7006 0.6080 (multiplicity 18)  3 Se 2.70-2.83
Se 0.0104 0.6550 0.4086 (multiplicity 18)  3 Hg 2.70-2.83

# 9
Material: TlHg2Se
Method: DFT, GGA-PBE
State: relaxed

Results
E_tot	-12.7	eV for the cell shown
energy relative to the elements, uncorrected	0.02	eV per atom

abc: 4.6785 4.6893 10.9186
angles: 90.00 90.00 90.00
With the nearest neighbours (Å) after each atom.
Space group Cmm2 (No. 35)
Unique sites:
Tl 0.0000 0.0000 0.0000 (multiplicity 2)  4 Se 3.15, 4 Tl 3.31
Hg 0.0000 0.0000 0.5417 (multiplicity 2)  8 Hg 3.31-3.65
Hg 0.0000 0.5000 0.2855 (multiplicity 2)  8 Hg 3.31-3.65
Se 0.0000 0.5000 0.8073 (multiplicity 2)  4 Tl 3.15, 4 Se 3.31

# 10
Material: Tl12HgSe6
Method: DFT, GGA-PBE
State: relaxed

Results
E_tot	-164.1	eV for the cell shown
energy relative to the elements, uncorrected	-0.27	eV per atom

abc: 14.7780 14.7780 10.6261
angles: 90.00 90.00 120.00
With the nearest neighbours (Å) after each atom.
Space group R-3m (No. 166, hexagonal axes)
Unique sites:
Tl 0.0000 0.3824 0.0000 (multiplicity 18)  4 Se 3.08-3.39
Tl 0.0858 0.1716 0.8340 (multiplicity 18)  1 Se 2.95
Hg 0.0000 0.0000 0.5000 (multiplicity 3)  6 Tl 4.17
Se 0.0307 0.5154 0.7291 (multiplicity 18)  3 Tl 2.95-3.08

# 11
Material: TlHgSe2
Method: DFT, GGA-PBE
State: relaxed

Results
E_tot	-41.5	eV for the cell shown
energy relative to the elements, uncorrected	-0.18	eV per atom

abc: 6.4744 6.4744 13.0168
angles: 90.00 90.00 90.00
With the nearest neighbours (Å) after each atom.
Space group I-42d (No. 122)
Unique sites:
Tl 0.0000 0.0000 0.0000 (multiplicity 4)  4 Se 2.88
Hg 0.0000 0.0000 0.5000 (multiplicity 4)  4 Se 2.74
Se 0.2303 0.2500 0.6250 (multiplicity 8)  2 Hg 2.74, 2 Tl 2.88

# 12
Material: TlHgSe2
Method: DFT, GGA-PBE
State: relaxed

Results
E_tot	-30.3	eV for the cell shown
energy relative to the elements, uncorrected	-0.11	eV per atom

abc: 4.1130 4.1130 21.8065
angles: 90.00 90.00 120.00
With the nearest neighbours (Å) after each atom.
Space group R3m (No. 160, hexagonal axes)
Unique sites:
Tl 0.0000 0.0000 0.0000 (multiplicity 3)  6 Se 3.11-3.12
Hg 0.0000 0.0000 0.1691 (multiplicity 3)  6 Se 2.85-2.90
Se 0.0000 0.0000 0.5746 (multiplicity 3)  3 Hg 2.85, 3 Tl 3.11
Se 0.0000 0.0000 0.7595 (multiplicity 3)  3 Hg 2.90, 3 Tl 3.12

# 13
Material: TlHg2Se
Method: DFT, GGA-PBE
State: relaxed

Results
E_tot	-12.7	eV for the cell shown
energy relative to the elements, uncorrected	0.03	eV per atom

abc: 6.0272 11.8341 3.0723
angles: 90.00 90.00 90.00
With the nearest neighbours (Å) after each atom.
Space group Cmmm (No. 65)
Unique sites:
Tl 0.0000 0.0000 0.0000 (multiplicity 2)  2 Se 3.01, 2 Tl 3.07
Hg 0.2500 0.2500 0.5000 (multiplicity 4)  4 Hg 3.01-3.07
Se 0.0000 0.5000 0.0000 (multiplicity 2)  2 Tl 3.01, 2 Se 3.07

# 14
Material: Tl2HgSe
Method: DFT, GGA-PBE
State: relaxed

Results
E_tot	-35.4	eV for the cell shown
energy relative to the elements, uncorrected	-0.09	eV per atom
energy relative to the lowest polymorph listed for this composition	185	meV/atom

abc: 7.7712 7.7712 7.7712
angles: 90.00 90.00 90.00
With the nearest neighbours (Å) after each atom.
Space group F-43m (No. 216)
Unique sites:
Tl 0.0000 0.0000 0.0000 (multiplicity 4)  4 Tl 3.37, 4 Se 3.37
Tl 0.2500 0.2500 0.2500 (multiplicity 4)  4 Hg 3.37, 4 Tl 3.37
Hg 0.0000 0.0000 0.5000 (multiplicity 4)  4 Tl 3.37, 4 Se 3.37
Se 0.2500 0.2500 0.7500 (multiplicity 4)  4 Hg 3.37, 4 Tl 3.37

# 15
Material: TlHg2Se
Method: DFT, GGA-PBE
State: relaxed

Results
E_tot	-12.7	eV for the cell shown
energy relative to the elements, uncorrected	0.03	eV per atom

abc: 6.6341 11.8404 3.1283
angles: 90.00 117.45 90.00
With the nearest neighbours (Å) after each atom.
Space group C2/m (No. 12)
Unique sites:
Tl 0.0000 0.0000 0.0000 (multiplicity 2)  2 Tl 3.13, 4 Se 3.32-3.35, 4 Hg 3.39
Hg 0.2500 0.2500 0.0000 (multiplicity 4)  6 Hg 3.13-3.35, 2 Tl 3.39, 2 Se 3.39
Se 0.0000 0.5000 0.0000 (multiplicity 2)  2 Se 3.13, 4 Tl 3.32-3.35, 4 Hg 3.39

# 16
Material: TlHgSe2
Method: DFT, GGA-PBE
State: relaxed

Results
E_tot	-35.2	eV for the cell shown
energy relative to the elements, uncorrected	0.21	eV per atom

abc: 7.3834 7.3834 7.3834
angles: 90.00 90.00 90.00
With the nearest neighbours (Å) after each atom.
Space group F-43m (No. 216)
Unique sites:
Tl 0.0000 0.0000 0.0000 (multiplicity 4)  4 Se 3.20, 4 Hg 3.20
Hg 0.2500 0.2500 0.2500 (multiplicity 4)  4 Tl 3.20, 4 Se 3.20
Se 0.0000 0.0000 0.5000 (multiplicity 4)  4 Hg 3.20, 4 Se 3.20
Se 0.2500 0.2500 0.7500 (multiplicity 4)  4 Tl 3.20, 4 Se 3.20

# 17
Material: Tl5HgSe3
Method: DFT, GGA-PBE
State: relaxed

Results
E_tot	-97.6	eV for the cell shown
energy relative to the elements, uncorrected	-0.20	eV per atom

abc: 14.1749 9.0383 10.8972
angles: 90.00 109.54 90.00
With the nearest neighbours (Å) after each atom.
Space group C2/m (No. 12)
Unique sites:
Tl 0.0000 0.1796 0.0000 (multiplicity 4)  1 Se 2.90
Tl 0.0671 0.0000 0.3200 (multiplicity 4)  2 Se 2.86-3.08
Tl 0.1041 0.2904 0.7321 (multiplicity 8)  3 Se 3.01-3.23
Tl 0.2266 0.5000 0.0802 (multiplicity 4)  3 Se 3.03-3.34
Hg 0.1493 0.5000 0.3927 (multiplicity 4)  2 Se 2.68-2.74
Se 0.0000 0.5000 0.0000 (multiplicity 2)  4 Tl 2.90-3.03
Se 0.0000 0.5000 0.5000 (multiplicity 2)  2 Hg 2.74
Se 0.1593 0.0000 0.5970 (multiplicity 4)  1 Hg 2.68, 1 Tl 2.86
Se 0.2213 0.0000 0.1765 (multiplicity 4)  4 Tl 3.01-3.12

# 18
Material: TlHg2Se
Method: DFT, GGA-PBE
State: relaxed

Results
E_tot	-20.2	eV for the cell shown
energy relative to the elements, uncorrected	-0.07	eV per atom

abc: 4.3202 4.3202 21.1713
angles: 90.00 90.00 120.00
With the nearest neighbours (Å) after each atom.
Space group R-3m (No. 166, hexagonal axes)
Unique sites:
Tl 0.0000 0.0000 0.0000 (multiplicity 3)  6 Hg 3.19
Hg 0.0000 0.0000 0.2395 (multiplicity 6)  3 Se 2.93, 3 Tl 3.19
Se 0.0000 0.0000 0.5000 (multiplicity 3)  6 Hg 2.93

# 19
Material: Tl2HgSe
Method: DFT, GGA-PBE
State: relaxed

Results
E_tot	-9.2	eV for the cell shown
energy relative to the elements, uncorrected	-0.18	eV per atom
energy relative to the lowest polymorph listed for this composition	91	meV/atom

abc: 5.1928 5.1928 4.2843
angles: 90.00 90.00 90.00
With the nearest neighbours (Å) after each atom.
Space group P4/mmm (No. 123)
Unique sites:
Tl 0.0000 0.5000 0.0000 (multiplicity 2)  4 Hg 3.37, 4 Se 3.37, 4 Tl 3.67
Hg 0.0000 0.0000 0.5000 (multiplicity 1)  8 Tl 3.37, 4 Se 3.67
Se 0.5000 0.5000 0.5000 (multiplicity 1)  8 Tl 3.37, 4 Hg 3.67

# 20
Material: Tl2Hg4Se
Method: DFT, GGA-PBE
State: relaxed

Results
E_tot	-17.1	eV for the cell shown
energy relative to the elements, uncorrected	0.13	eV per atom

abc: 5.3258 5.3258 17.3760
angles: 90.00 90.00 90.00
With the nearest neighbours (Å) after each atom.
Space group I4/mmm (No. 139)
Unique sites:
Tl 0.0000 0.0000 0.1315 (multiplicity 4)  5 Hg 3.14-3.51
Hg 0.0000 0.0000 0.3122 (multiplicity 4)  1 Tl 3.14, 1 Se 3.26
Hg 0.0000 0.5000 0.0000 (multiplicity 4)  2 Se 2.66
Se 0.0000 0.0000 0.5000 (multiplicity 2)  4 Hg 2.66

# 21
Material: Tl8Hg3Se4
Method: DFT, GGA-PBE
State: relaxed

Results
E_tot	-73.7	eV for the cell shown
energy relative to the elements, uncorrected	-0.20	eV per atom

abc: 12.9898 12.4894 8.1414
angles: 90.00 128.55 90.00
With the nearest neighbours (Å) after each atom.
Space group C2/m (No. 12)
Unique sites:
Tl 0.0000 0.2408 0.0000 (multiplicity 4)  3 Se 3.01-3.26, 3 Hg 3.24-3.25
Tl 0.0000 0.2442 0.5000 (multiplicity 4)  3 Se 3.05-3.25, 2 Hg 3.26
Tl 0.2075 0.0000 0.9547 (multiplicity 4)  2 Se 2.92-2.94, 2 Hg 3.15
Tl 0.2335 0.0000 0.4817 (multiplicity 4)  4 Se 3.12-3.13, 1 Hg 3.40
Hg 0.0000 0.5000 0.0000 (multiplicity 2)  6 Tl 3.24-3.58
Hg 0.2500 0.2500 0.0000 (multiplicity 4)  6 Tl 3.15-3.26
Se 0.0000 0.0000 0.0000 (multiplicity 2)  6 Tl 2.94-3.12
Se 0.0000 0.0000 0.5000 (multiplicity 2)  6 Tl 2.92-3.13
Se 0.2500 0.2500 0.5000 (multiplicity 4)  6 Tl 3.13-3.26

# 22
Material: TlHgSe2
Method: DFT, GGA-PBE
State: relaxed

Results
E_tot	-29.1	eV for the cell shown
energy relative to the elements, uncorrected	-0.01	eV per atom

abc: 4.4371 4.4371 21.1557
angles: 90.00 90.00 120.00
With the nearest neighbours (Å) after each atom.
Space group R3m (No. 160, hexagonal axes)
Unique sites:
Tl 0.0000 0.0000 0.0000 (multiplicity 3)  3 Se 2.86
Hg 0.0000 0.0000 0.7918 (multiplicity 3)  3 Se 2.65
Se 0.0000 0.0000 0.2728 (multiplicity 3)  3 Tl 2.86
Se 0.0000 0.0000 0.4909 (multiplicity 3)  3 Hg 2.65

# 23
Material: TlHg2Se
Method: DFT, GGA-PBE
State: relaxed

Results
E_tot	-6.7	eV for the cell shown
energy relative to the elements, uncorrected	-0.05	eV per atom

abc: 3.1513 4.3817 8.2557
angles: 90.00 96.11 90.00
With the nearest neighbours (Å) after each atom.
Space group Pm (No. 6)
Unique sites:
Tl 0.0000 0.0000 0.0000 (multiplicity 1)  2 Tl 3.15, 4 Se 3.21-3.25, 2 Hg 3.44
Hg 0.3662 0.0000 0.5271 (multiplicity 1)  2 Se 3.04, 6 Hg 3.15-3.31
Hg 0.7802 0.5000 0.3016 (multiplicity 1)  6 Hg 3.15-3.31, 2 Tl 3.44
Se 0.4265 0.5000 0.7835 (multiplicity 1)  2 Hg 3.04, 2 Se 3.15, 4 Tl 3.21-3.25

# 24
Material: Tl6Hg2Se
Method: DFT, GGA-PBE
State: relaxed

Results
E_tot	-38.1	eV for the cell shown
energy relative to the elements, uncorrected	-0.08	eV per atom

abc: 4.0589 15.9817 8.4990
angles: 90.00 90.00 90.00
With the nearest neighbours (Å) after each atom.
Space group Amm2 (No. 38)
Unique sites:
Tl 0.0000 0.0000 0.0000 (multiplicity 2)  2 Se 3.09, 2 Hg 3.29
Tl 0.0000 0.1389 0.6331 (multiplicity 4)  2 Se 3.11, 2 Hg 3.30-3.38
Tl 0.5000 0.0000 0.3615 (multiplicity 2)  1 Se 3.10, 4 Hg 3.39
Tl 0.5000 0.2041 0.9447 (multiplicity 4)  4 Hg 3.35-3.43, 4 Tl 3.50-3.60, 1 Se 3.76
Hg 0.0000 0.1584 0.2469 (multiplicity 4)  9 Tl 3.29-3.43
Se 0.5000 0.0000 0.7257 (multiplicity 2)  7 Tl 3.09-3.11